# 1
Compound: Ac3Nd2TmTe6
Source: the Alexandria database
Functional: GGA-PBE
Structure: optimized geometry

Summary:
E ... -62.1 eV for the cell shown
ΔE_f (raw) ... -16.9 eV/f.u.

Cell lengths 4.520, 9.294, 10.311 Å; angles 104.49, 102.66, 90.00 degrees
Element x y z (fractional)
Ac 0.500 0.500 0.000
Ac 0.828 0.164 0.657
Ac 0.172 0.836 0.343
Nd 0.830 0.663 0.661
Nd 0.170 0.337 0.339
Tm 0.500 0.000 0.000
Te 0.344 0.911 0.687
Te 0.668 0.575 0.337
Te 0.656 0.089 0.313
Te 0.002 0.230 0.004
Te 0.998 0.770 0.996
Te 0.332 0.425 0.663



# 2
Compound: BiTeHN2
Source: the Alexandria database
Functional: GGA-PBE
Structure: optimized geometry

Summary:
E ... -17.0 eV for the cell shown
Energy above the most stable polymorph in this dataset ... 6.96 kcal/mol of atoms

Cell lengths 4.394, 4.394, 6.352 Å; angles 90.00, 90.00, 90.00 degrees
Last column: magnetic moment on the atom in μB.
Element x y z (fractional)
H 0.500 0.500 0.500  -0.23
Te 0.000 0.000 0.500  0.51
Bi 0.000 0.000 0.000  -0.08
N 0.000 0.500 0.000  0.87
N 0.500 0.000 0.000  0.87



# 3
Compound: NaSi
Source: the Alexandria database
Functional: GGA-PBE
Structure: optimized geometry

Summary:
E ... -26.8 eV for the cell shown
ΔE_f (raw) ... 0.1 eV/f.u.
Energy above the most stable polymorph in this dataset ... 0.89 kcal/mol of atoms

Cell lengths 8.497, 3.850, 6.665 Å; angles 90.00, 104.37, 90.00 degrees
Element x y z (fractional)
Na 0.605 0.000 0.245
Na 0.605 0.500 0.745
Na 0.221 0.000 0.773
Na 0.221 0.500 0.273
Si 0.953 0.000 0.022
Si 0.953 0.500 0.522
Si 0.853 0.000 0.657
Si 0.853 0.500 0.157



# 4
Compound: KHg2Au2
Source: the Alexandria database
Functional: GGA-PBE
Structure: optimized geometry

Summary:
Energy of formation ... -0.10 eV per atom
E ... -17.5 eV for the cell shown
Energy above the most stable polymorph in this dataset ... 2.24 kcal/mol of atoms

Cell lengths 8.819, 8.819, 3.041 Å; angles 90.00, 90.00, 90.00 degrees
Element x y z (fractional)
K 0.000 0.000 0.000
K 0.500 0.500 0.000
Au 0.170 0.670 0.500
Au 0.670 0.830 0.500
Au 0.830 0.330 0.500
Au 0.330 0.170 0.500
Hg 0.372 0.872 0.000
Hg 0.872 0.628 0.000
Hg 0.628 0.128 0.000
Hg 0.128 0.372 0.000



# 5
Compound: AcHoSeO6
Source: the Alexandria database
Functional: GGA-PBE
Structure: optimized geometry

Summary:
E ... -61.9 eV for the cell shown
ΔE_f (raw) ... -20.0 eV/f.u.

Cell lengths 5.206, 5.471, 5.471 Å; angles 120.00, 90.00, 90.00 degrees
Element x y z (fractional)
Ac 0.000 0.333 0.667
Ho 0.500 0.667 0.333
Se 0.500 0.000 0.000
O 0.704 0.729 0.721
O 0.704 0.279 0.008
O 0.704 0.992 0.271
O 0.296 0.279 0.271
O 0.296 0.729 0.008
O 0.296 0.992 0.721